[1]
Mg2VBi after structural relaxation, computed with PBE.

## Properties
- ΔE_f: 0.52 eV per atom
- Magnetization: 2.65 μB/f.u.
- ρ: 5.26 g/cm3
- V: 195 Å³ per cell

Unit cell a=6.5116 b=6.5116 c=6.5116 alpha=100.94 beta=100.94 gamma=128.35
Fractional coordinates of all 8 atoms:
Mg  0.1115  0.6250  0.9865
Mg  0.3750  0.3615  0.4865
Mg  0.6385  0.1250  0.0135
Mg  0.8750  0.8885  0.5135
V  0.0000  0.0000  0.0000
V  0.7500  0.2500  0.5000
Bi  0.2500  0.7500  0.5000
Bi  0.5000  0.5000  0.0000

[2]
Mg2VBi after structural relaxation, computed with PBE.

## Properties
- ΔE_f: 0.63 eV per atom
- Magnetization: 3.25 μB/f.u.
- ρ: 5.07 g/cm3
- V: 101 Å³ per cell

Unit cell a=11.3540 b=11.3540 c=11.3540 alpha=16.34 beta=16.34 gamma=16.34
Fractional coordinates of all 4 atoms:
Mg  0.0831  0.0831  0.0831
Mg  0.9169  0.9169  0.9169
V  0.0000  0.0000  0.0000
Bi  0.5000  0.5000  0.5000

[3]
MgV2Bi after structural relaxation, computed with PBE.

## Properties
- ΔE_f: 0.85 eV per atom
- Magnetization: 0.48 μB/f.u.
- Distance to the lowest polymorph of the same formula: 338 meV per atom
- ρ: 7.03 g/cm3
- V: 158 Å³ per cell

Unit cell a=5.9973 b=5.9973 c=5.9973 alpha=102.92 beta=102.92 gamma=123.56
Fractional coordinates of all 8 atoms:
Mg  0.0000  0.0000  0.0000
Mg  0.7500  0.2500  0.5000
V  0.1294  0.6250  0.0044
V  0.3750  0.3794  0.5044
V  0.6206  0.1250  0.9956
V  0.8750  0.8706  0.4956
Bi  0.2500  0.7500  0.5000
Bi  0.5000  0.5000  0.0000

[4]
Mg14BiW after structural relaxation, computed with PBE.

## Properties
- ΔE_f: 0.12 eV per atom
- Magnetization: 0.00 μB/f.u.
- Distance to the lowest polymorph of the same formula: 0 meV per atom
- ρ: 3.45 g/cm3
- V: 353 Å³ per cell

Unit cell a=6.3140 b=6.3140 c=10.2229 alpha=90.00 beta=90.00 gamma=120.00
Fractional coordinates of all 16 atoms:
Mg  0.0000  0.0000  0.2458
Mg  0.0000  0.0000  0.7542
Mg  0.0091  0.5046  0.2650
Mg  0.0091  0.5046  0.7350
Mg  0.3297  0.1648  0.5000
Mg  0.3364  0.1682  0.0000
Mg  0.4954  0.5046  0.2650
Mg  0.4954  0.5046  0.7350
Mg  0.4954  0.9909  0.2650
Mg  0.4954  0.9909  0.7350
Mg  0.8318  0.1682  0.0000
Mg  0.8318  0.6636  0.0000
Mg  0.8352  0.1648  0.5000
Mg  0.8352  0.6703  0.5000
Bi  0.3333  0.6667  0.0000
W  0.3333  0.6667  0.5000

[5]
Mg6BiW after structural relaxation, computed with PBE.

## Properties
- ΔE_f: 0.31 eV per atom
- Magnetization: 0.77 μB/f.u.
- Distance to the lowest polymorph of the same formula: 46 meV per atom
- ρ: 5.22 g/cm3
- V: 171 Å³ per cell

Unit cell a=5.1551 b=6.2397 c=6.2397 alpha=58.61 beta=90.00 gamma=90.00
Fractional coordinates of all 8 atoms:
Mg  0.0000  0.0000  0.0000
Mg  0.0000  0.0116  0.4774
Mg  0.0000  0.4774  0.0116
Mg  0.0000  0.4816  0.4816
Mg  0.5000  0.3306  0.8247
Mg  0.5000  0.8247  0.3306
Bi  0.5000  0.8310  0.8310
W  0.5000  0.3234  0.3234

[6]
Mg14BiW after structural relaxation, computed with PBE.

## Properties
- ΔE_f: 0.15 eV per atom
- Magnetization: 1.46 μB/f.u.
- Distance to the lowest polymorph of the same formula: 30 meV per atom
- ρ: 3.42 g/cm3
- V: 356 Å³ per cell

Unit cell a=10.2549 b=6.3131 c=6.3131 alpha=60.44 beta=90.00 gamma=90.00
Fractional coordinates of all 16 atoms:
Mg  0.0000  0.0000  0.0000
Mg  0.0000  0.0021  0.4940
Mg  0.0000  0.4940  0.0021
Mg  0.0000  0.4984  0.4984
Mg  0.2416  0.8285  0.8285
Mg  0.2571  0.3414  0.8196
Mg  0.2571  0.8196  0.3414
Mg  0.2611  0.3377  0.3377
Mg  0.5000  0.4988  0.9970
Mg  0.5000  0.9970  0.4988
Mg  0.7389  0.3377  0.3377
Mg  0.7429  0.3414  0.8196
Mg  0.7429  0.8196  0.3414
Mg  0.7584  0.8285  0.8285
Bi  0.5000  0.9919  0.9919
W  0.5000  0.5023  0.5023

[7]
MgBiW3 after structural relaxation, computed with PBE.

## Properties
- ΔE_f: 2.47 eV per atom
- Magnetization: 0.00 μB/f.u.
- Distance to the lowest polymorph of the same formula: 0 meV per atom
- ρ: 12.56 g/cm3
- V: 104 Å³ per cell

Unit cell a=4.6991 b=4.6991 c=4.6991 alpha=90.00 beta=90.00 gamma=90.00
Fractional coordinates of all 5 atoms:
Mg  0.0000  0.0000  0.0000
Bi  0.5000  0.5000  0.5000
W  0.0000  0.0000  0.5000
W  0.0000  0.5000  0.0000
W  0.5000  0.0000  0.0000

[8]
MgBi3W after structural relaxation, computed with PBE.

## Properties
- ΔE_f: 1.51 eV per atom
- Magnetization: 3.83 μB/f.u.
- Distance to the lowest polymorph of the same formula: 757 meV per atom
- ρ: 8.84 g/cm3
- V: 157 Å³ per cell

Unit cell a=5.3928 b=5.3928 c=5.3928 alpha=90.00 beta=90.00 gamma=90.00
Fractional coordinates of all 5 atoms:
Mg  0.0000  0.0000  0.0000
Bi  0.0000  0.0000  0.5000
Bi  0.0000  0.5000  0.0000
Bi  0.5000  0.0000  0.0000
W  0.5000  0.5000  0.5000

[9]
Mg2Bi2W after structural relaxation, computed with PBE.

## Properties
- ΔE_f: 0.76 eV per atom
- Magnetization: 0.97 μB/f.u.
- Distance to the lowest polymorph of the same formula: 0 meV per atom
- ρ: 9.23 g/cm3
- V: 234 Å³ per cell

Unit cell a=7.5882 b=7.5882 c=4.0664 alpha=90.00 beta=90.00 gamma=90.00
Fractional coordinates of all 10 atoms:
Mg  0.1390  0.3610  0.0000
Mg  0.3610  0.8610  0.0000
Mg  0.6390  0.1390  0.0000
Mg  0.8610  0.6390  0.0000
Bi  0.1707  0.6707  0.5000
Bi  0.3293  0.1707  0.5000
Bi  0.6707  0.8293  0.5000
Bi  0.8293  0.3293  0.5000
W  0.0000  0.0000  0.0000
W  0.5000  0.5000  0.0000

[10]
MgBi3W after structural relaxation, computed with PBE.

## Properties
- ΔE_f: 0.75 eV per atom
- Magnetization: 0.00 μB/f.u.
- Distance to the lowest polymorph of the same formula: 0 meV per atom
- ρ: 8.58 g/cm3
- V: 162 Å³ per cell

Unit cell a=5.4470 b=5.4470 c=5.4470 alpha=90.00 beta=90.00 gamma=90.00
Fractional coordinates of all 5 atoms:
Mg  0.0000  0.0000  0.0000
Bi  0.0000  0.5000  0.5000
Bi  0.5000  0.0000  0.5000
Bi  0.5000  0.5000  0.0000
W  0.5000  0.5000  0.5000

[11]
Mg6BiW after structural relaxation, computed with PBE.

## Properties
- ΔE_f: 0.26 eV per atom
- Magnetization: 0.00 μB/f.u.
- Distance to the lowest polymorph of the same formula: 0 meV per atom
- ρ: 5.27 g/cm3
- V: 170 Å³ per cell

Unit cell a=5.0510 b=6.1896 c=6.1896 alpha=61.26 beta=90.00 gamma=90.00
Fractional coordinates of all 8 atoms:
Mg  0.0000  0.0000  0.0000
Mg  0.0000  0.0201  0.4900
Mg  0.0000  0.4900  0.0201
Mg  0.5000  0.3258  0.8490
Mg  0.5000  0.8328  0.8328
Mg  0.5000  0.8490  0.3258
Bi  0.0000  0.4973  0.4973
W  0.5000  0.3306  0.3306

[12]
MgBi2W after structural relaxation, computed with PBE.

## Properties
- ΔE_f: 0.94 eV per atom
- Magnetization: 2.00 μB/f.u.
- ρ: 7.32 g/cm3
- V: 284 Å³ per cell

Unit cell a=8.0426 b=8.0426 c=8.0426 alpha=131.72 beta=131.72 gamma=70.67
Fractional coordinates of all 8 atoms:
Mg  0.0000  0.0000  0.0000
Mg  0.7500  0.2500  0.5000
Bi  0.1524  0.6250  0.0274
Bi  0.3750  0.4024  0.5274
Bi  0.5976  0.1250  0.9726
Bi  0.8750  0.8476  0.4726
W  0.2500  0.7500  0.5000
W  0.5000  0.5000  0.0000

[13]
Mg2Bi2W after structural relaxation, computed with PBE.

## Properties
- ΔE_f: 1.13 eV per atom
- Magnetization: 3.81 μB/f.u.
- Distance to the lowest polymorph of the same formula: 372 meV per atom
- ρ: 7.71 g/cm3
- V: 140 Å³ per cell

Unit cell a=7.6608 b=7.6608 c=7.6608 alpha=145.99 beta=145.99 gamma=48.86
Fractional coordinates of all 5 atoms:
Mg  0.0957  0.0957  0.0000
Mg  0.9043  0.9043  0.0000
Bi  0.2500  0.7500  0.5000
Bi  0.7500  0.2500  0.5000
W  0.5000  0.5000  0.0000

[14]
YMg2BiW after structural relaxation, computed with PBE.

## Properties
- ΔE_f: 1.60 eV per atom
- Magnetization: 1.62 μB/f.u.
- ρ: 5.65 g/cm3
- V: 156 Å³ per cell

Unit cell a=5.5846 b=5.5846 c=4.9945 alpha=90.00 beta=90.00 gamma=90.00
Fractional coordinates of all 5 atoms:
Y  0.0000  0.0000  0.0000
Mg  0.0000  0.5000  0.0000
Mg  0.5000  0.0000  0.0000
Bi  0.5000  0.5000  0.5000
W  0.0000  0.0000  0.5000

[15]
YMg2Bi after structural relaxation, computed with PBE.

## Properties
- ΔE_f: 0.18 eV per atom
- Magnetization: 0.00 μB/f.u.
- ρ: 4.95 g/cm3
- V: 116 Å³ per cell

Unit cell a=11.8235 b=11.8235 c=11.8235 alpha=16.50 beta=16.50 gamma=16.50
Fractional coordinates of all 4 atoms:
Y  0.0000  0.0000  0.0000
Mg  0.0908  0.0908  0.0908
Mg  0.9092  0.9092  0.9092
Bi  0.5000  0.5000  0.5000

[16]
YMgBi2 after structural relaxation, computed with PBE.

## Properties
- ΔE_f: -0.41 eV per atom
- Magnetization: 0.00 μB/f.u.
- ρ: 7.05 g/cm3
- V: 125 Å³ per cell

Unit cell a=7.4024 b=7.4024 c=7.4024 alpha=35.96 beta=35.96 gamma=35.96
Fractional coordinates of all 4 atoms:
Y  0.0000  0.0000  0.0000
Mg  0.1707  0.1707  0.1707
Bi  0.4182  0.4182  0.4182
Bi  0.5828  0.5828  0.5828

[17]
Y4Mg3Bi after structural relaxation, computed with PBE.

## Properties
- ΔE_f: -0.26 eV per atom
- Magnetization: 0.00 μB/f.u.
- ρ: 4.79 g/cm3
- V: 221 Å³ per cell

Unit cell a=9.3314 b=9.3314 c=9.3314 alpha=33.55 beta=33.55 gamma=33.55
Fractional coordinates of all 8 atoms:
Y  0.1242  0.1242  0.1242
Y  0.3745  0.3745  0.3745
Y  0.6255  0.6255  0.6255
Y  0.8758  0.8758  0.8758
Mg  0.0000  0.0000  0.0000
Mg  0.2551  0.2551  0.2551
Mg  0.7449  0.7449  0.7449
Bi  0.5000  0.5000  0.5000

[18]
YMg2Bi after structural relaxation, computed with PBE.

## Properties
- ΔE_f: -0.11 eV per atom
- Magnetization: 0.00 μB/f.u.
- ρ: 4.89 g/cm3
- V: 235 Å³ per cell

Unit cell a=6.9112 b=6.9112 c=6.9112 alpha=101.38 beta=101.38 gamma=127.26
Fractional coordinates of all 8 atoms:
Y  0.0000  0.0000  0.0000
Y  0.7500  0.2500  0.5000
Mg  0.1601  0.6250  0.0351
Mg  0.3750  0.4101  0.5351
Mg  0.5899  0.1250  0.9649
Mg  0.8750  0.8399  0.4649
Bi  0.2500  0.7500  0.5000
Bi  0.5000  0.5000  0.0000

[19]
YMg6Bi after structural relaxation, computed with PBE.

## Properties
- ΔE_f: -0.10 eV per atom
- Magnetization: 0.00 μB/f.u.
- Distance to the lowest polymorph of the same formula: 11 meV per atom
- ρ: 3.66 g/cm3
- V: 201 Å³ per cell

Unit cell a=5.1374 b=6.7086 c=6.7086 alpha=60.46 beta=90.00 gamma=90.00
Fractional coordinates of all 8 atoms:
Y  0.0000  0.0000  0.0000
Mg  0.0000  0.4867  0.4867
Mg  0.0000  0.5176  0.9771
Mg  0.0000  0.9771  0.5176
Mg  0.5000  0.1595  0.6454
Mg  0.5000  0.6454  0.1595
Mg  0.5000  0.6455  0.6455
Bi  0.5000  0.1659  0.1659

[20]
YMgBi2 after structural relaxation, computed with PBE.

## Properties
- ΔE_f: -0.44 eV per atom
- Magnetization: 0.00 μB/f.u.
- ρ: 7.89 g/cm3
- V: 112 Å³ per cell

Unit cell a=5.1535 b=5.1535 c=4.2087 alpha=90.00 beta=90.00 gamma=90.00
Fractional coordinates of all 4 atoms:
Y  0.0000  0.0000  0.0000
Mg  0.5000  0.5000  0.0000
Bi  0.0000  0.5000  0.5000
Bi  0.5000  0.0000  0.5000

[21]
YMgBi2 after structural relaxation, computed with PBE.

## Properties
- ΔE_f: -0.41 eV per atom
- Magnetization: 0.00 μB/f.u.
- ρ: 7.76 g/cm3
- V: 114 Å³ per cell

Unit cell a=4.0637 b=4.0637 c=6.8832 alpha=90.00 beta=90.00 gamma=90.00
Fractional coordinates of all 4 atoms:
Y  0.0000  0.0000  0.0000
Mg  0.0000  0.0000  0.5000
Bi  0.5000  0.5000  0.2484
Bi  0.5000  0.5000  0.7516

[22]
YMgBi2 after structural relaxation, computed with PBE.

## Properties
- ΔE_f: -0.40 eV per atom
- Magnetization: 0.00 μB/f.u.
- ρ: 7.19 g/cm3
- V: 123 Å³ per cell

Unit cell a=7.6155 b=7.6155 c=7.6155 alpha=33.94 beta=33.94 gamma=33.94
Fractional coordinates of all 4 atoms:
Y  0.0000  0.0000  0.0000
Mg  0.5000  0.5000  0.5000
Bi  0.2459  0.2459  0.2459
Bi  0.7541  0.7541  0.7541

[23]
YMgBi after structural relaxation, computed with PBE.

## Properties
- ΔE_f: -0.34 eV per atom
- Magnetization: 0.00 μB/f.u.
- Distance to the lowest polymorph of the same formula: 0 meV per atom
- ρ: 6.47 g/cm3
- V: 83 Å³ per cell

Unit cell a=4.8576 b=4.8576 c=4.0451 alpha=90.00 beta=90.00 gamma=120.00
Fractional coordinates of all 3 atoms:
Y  0.0000  0.0000  0.0000
Mg  0.3333  0.6667  0.5199
Bi  0.6667  0.3333  0.4870

[24]
YMgBi2 after structural relaxation, computed with PBE.

## Properties
- ΔE_f: -0.41 eV per atom
- Magnetization: 0.00 μB/f.u.
- ρ: 7.26 g/cm3
- V: 243 Å³ per cell

Unit cell a=6.1526 b=6.1526 c=6.4222 alpha=90.00 beta=90.00 gamma=90.00
Fractional coordinates of all 8 atoms:
Y  0.2500  0.7500  0.0000
Y  0.7500  0.2500  0.0000
Mg  0.2500  0.2500  0.3742
Mg  0.7500  0.7500  0.6258
Bi  0.2500  0.2500  0.9001
Bi  0.2500  0.7500  0.5000
Bi  0.7500  0.2500  0.5000
Bi  0.7500  0.7500  0.0999

[25]
Y2MgBi2 after structural relaxation, computed with PBE.

## Properties
- ΔE_f: -0.60 eV per atom
- Magnetization: 0.00 μB/f.u.
- Distance to the lowest polymorph of the same formula: 0 meV per atom
- ρ: 7.10 g/cm3
- V: 290 Å³ per cell

Unit cell a=8.3071 b=8.3071 c=4.2059 alpha=90.00 beta=90.00 gamma=90.00
Fractional coordinates of all 10 atoms:
Y  0.1530  0.3470  0.0000
Y  0.3470  0.8470  0.0000
Y  0.6530  0.1530  0.0000
Y  0.8470  0.6530  0.0000
Mg  0.0000  0.0000  0.5000
Mg  0.5000  0.5000  0.5000
Bi  0.1524  0.6524  0.5000
Bi  0.3476  0.1524  0.5000
Bi  0.6524  0.8476  0.5000
Bi  0.8476  0.3476  0.5000